5
Lattice="5.210 0.000 0.000 0.000 5.210 0.000 0.000 0.000 3.742" Properties=species:S:1:pos:R:3 comment="Ca2CuSnN, relaxed, DFT PBE" spacegroup="P4/mmm, No. 123" formation_energy_uncorrected_mev_per_atom=-439 pbc="T T T"
Ca 0.000 2.605 0.000
Ca 2.605 0.000 0.000
Sn 2.605 2.605 1.871
Cu 0.000 0.000 1.871
N 0.000 0.000 0.000


6
Lattice="1.643 -5.848 0.000 1.643 5.848 0.000 0.000 0.000 3.316" Properties=species:S:1:pos:R:3 comment="Be2P, relaxed, DFT PBE" e_above_lowest_polymorph_mev_per_atom=327 spacegroup="Cmcm, No. 63" e_form_ev_per_fu=0.57 pbc="T T T"
Be 1.643 -2.982 2.487
Be 1.643 0.939 2.487
Be 1.643 2.982 0.829
Be 1.643 -0.939 0.829
P 1.643 4.469 2.487
P 1.643 -4.469 0.829


4
Lattice="3.016 0.000 0.000 0.000 3.624 0.000 0.000 0.000 6.683" Properties=species:S:1:pos:R:3 comment="AlRe2Cl, relaxed, DFT PBE" e_above_lowest_polymorph_mev_per_atom=671 spacegroup="Pmmm, No. 47" formation_energy_uncorrected_mev_per_atom=602 pbc="T T T"
Re 0.000 0.000 0.533
Re 0.000 0.000 2.809
Al 1.508 1.812 1.671
Cl 1.508 1.812 5.013


16
Lattice="4.621 0.000 0.000 0.000 4.621 0.000 0.000 0.000 17.997" Properties=species:S:1:pos:R:3 comment="Dy3MgHg12, relaxed, DFT PBE" spacegroup="P4/mmm, No. 123" e_form_ev_per_fu=-4.22 pbc="T T T"
Dy 0.000 0.000 4.297
Dy 0.000 0.000 8.999
Dy 0.000 0.000 13.700
Mg 0.000 0.000 0.000
Hg 2.310 2.310 0.000
Hg 2.310 2.310 4.441
Hg 2.310 2.310 8.999
Hg 2.310 2.310 13.556
Hg 2.310 0.000 2.141
Hg 2.310 0.000 6.699
Hg 2.310 0.000 11.298
Hg 2.310 0.000 15.856
Hg 0.000 2.310 2.141
Hg 0.000 2.310 6.699
Hg 0.000 2.310 11.298
Hg 0.000 2.310 15.856


E (Ry per atom)
-0.3325, -0.3011, -0.5159, -0.1068